This record from Alexandria describes an optimized crystal structure of Ce2HoPb. The functional is GGA-PBE.

Formation enthalpy at 0 K, kJ/mol of formula units: -101.7
Crystal system: tetragonal

Structure (POSCAR):
```
Ce2HoPb
1.0
4.628 0.000 0.000
0.000 4.628 0.000
0.000 0.000 5.219
Ce Ho Pb
2 1 1
direct
0.000 0.500 0.000
0.500 0.000 0.000
0.000 0.000 0.500
0.500 0.500 0.500
```

***

This record from Alexandria describes an optimized crystal structure of Y2CoCl. The functional is GGA-PBE.

Formation energy from raw total energies, meV/atom: -310
Crystal system: tetragonal

Structure (POSCAR):
```
Y2CoCl
1.0
3.839 0.000 0.000
0.000 3.839 0.000
0.000 0.000 11.867
Y Co Cl
4 2 2
direct
0.000 0.000 0.000
0.000 0.500 0.250
0.500 0.000 0.750
0.500 0.500 0.500
0.000 0.000 0.500
0.500 0.500 0.000
0.000 0.500 0.750
0.500 0.000 0.250
```

***

This record from Alexandria describes an optimized crystal structure of HfTaTc2Bi. The functional is GGA-PBE.

Formation enthalpy at 0 K, kJ/mol of formula units: 965.5
Crystal system: tetragonal

Structure (POSCAR):
```
HfTaTc2Bi
1.0
4.896 0.000 0.000
0.000 4.896 0.000
0.000 0.000 5.055
Hf Ta Tc Bi
1 1 2 1
direct
0.000 0.000 0.000
0.500 0.500 0.000
0.000 0.500 0.500
0.500 0.000 0.500
0.500 0.500 0.500
```